[1]
PrAl2Pt after structural relaxation. Source: the Alexandria database, functional PBE. Values from VASP.

Computed properties:
Crystal system ... orthorhombic
Space group ... No. 62

Geometry as Quantum ESPRESSO input:
```
&SYSTEM
  ibrav = 0, nat = 32, ntyp = 3
/
ATOMIC_SPECIES
Pr 140.91 Pr.upf
Al 26.98 Al.upf
Pt 195.08 Pt.upf
ATOMIC_POSITIONS angstrom
Pr 1.6589 1.7504 1.3377
Pr 2.2187 5.2511 0.0768
Pr 5.7633 1.7504 3.0378
Pr 6.3231 5.2511 4.2988
Pr 9.6410 1.7504 1.6233
Pr 10.2007 5.2511 2.8842
Pr 13.7454 1.7504 5.8452
Pr 14.3051 5.2511 4.5843
Al 0.6782 0.4109 4.2220
Al 0.6782 3.0898 4.2220
Al 3.3701 3.8937 3.0671
Al 3.3701 6.6084 3.0671
Al 4.6119 0.3930 0.1061
Al 4.6119 3.1077 0.1061
Al 7.3038 3.9116 1.2609
Al 7.3038 6.5905 1.2609
Al 8.6603 0.4109 4.6611
Al 8.6603 3.0898 4.6611
Al 11.3521 3.8937 5.8159
Al 11.3521 6.6084 5.8159
Al 12.5940 0.3930 2.8549
Al 12.5940 3.1077 2.8549
Al 15.2858 3.9116 1.7001
Al 15.2858 6.5905 1.7001
Pt 1.1499 5.2511 2.9659
Pt 2.9180 1.7504 4.4487
Pt 5.0640 5.2511 1.4877
Pt 6.8321 1.7504 0.0048
Pt 9.1319 5.2511 5.9172
Pt 10.9000 1.7504 4.4344
Pt 13.0461 5.2511 1.4733
Pt 14.8142 1.7504 2.9562
CELL_PARAMETERS angstrom
15.9641 0.0000 0.0000
0.0000 7.0014 0.0000
0.0000 0.0000 5.9221
```

=====

[2]
PrAl4Pt2 after structural relaxation. Source: the Alexandria database, functional PBE. Values from VASP.

Computed properties:
Excess energy over the best structure of this formula in the dataset ... 0.000 eV per atom
Crystal system ... orthorhombic
Space group ... No. 62

Geometry as Quantum ESPRESSO input:
```
&SYSTEM
  ibrav = 0, nat = 28, ntyp = 3
/
ATOMIC_SPECIES
Pr 140.91 Pr.upf
Al 26.98 Al.upf
Pt 195.08 Pt.upf
ATOMIC_POSITIONS angstrom
Pr 2.4324 1.0855 0.0731
Pr 6.3339 3.2564 3.4120
Pr 11.1986 1.0855 3.2658
Pr 15.1001 3.2564 6.6047
Al 0.6064 3.2564 5.5724
Al 1.2461 1.0855 3.2850
Al 3.2566 3.2564 2.1608
Al 3.4075 3.2564 4.8418
Al 5.3588 1.0855 1.5029
Al 5.5096 1.0855 5.4997
Al 7.5201 3.2564 6.6239
Al 8.1598 1.0855 2.2335
Al 9.3727 3.2564 4.4443
Al 10.0124 1.0855 0.0538
Al 12.0229 3.2564 1.1780
Al 12.1737 3.2564 5.1748
Al 14.1250 1.0855 1.8359
Al 14.2759 1.0855 4.5169
Al 16.2864 3.2564 3.3927
Al 16.9261 1.0855 1.1054
Pt 0.6480 3.2564 1.6662
Pt 3.7760 1.0855 3.5138
Pt 4.9902 3.2564 0.1749
Pt 8.1182 1.0855 5.0050
Pt 9.4143 3.2564 1.6727
Pt 12.5423 1.0855 6.5029
Pt 13.7565 3.2564 3.1640
Pt 16.8845 1.0855 5.0116
CELL_PARAMETERS angstrom
17.5325 0.0000 0.0000
0.0000 4.3419 0.0000
0.0000 0.0000 6.6778
```

=====

| no. | formation enthalpy at 0 K (eV/atom) |
| --- | --- |
| 1 | -0.903 |
| 2 | -0.958 |